[1]
This record from the Alexandria database describes a relaxed BaPaC2O8 crystal. The functional is GGA-PBE.

Calculated values
For the uncorrected formation energy, the calculation gives -2.0534 eV per atom.

a = 4.8566 Å, b = 4.8566 Å, c = 8.2080 Å
α = 72.79°, β = 72.79°, γ = 60.00°
Last column: magnetic moment on the atom in μB.
Fractional coordinates of all 12 atoms:
Ba  0.0000  0.0000  0.0000  0.00
Pa  0.5000  0.5000  0.5000  -0.02
C  0.7529  0.7529  0.7414  -0.01
C  0.2471  0.2471  0.2586  -0.01
O  0.6946  0.6946  0.9163  0.23
O  0.3054  0.3054  0.0837  0.23
O  0.4880  0.2471  0.3216  0.08
O  0.7529  0.5120  0.6784  0.08
O  0.0567  0.7529  0.6784  0.08
O  0.2471  0.9433  0.3216  0.08
O  0.9433  0.4880  0.3216  0.08
O  0.5120  0.0567  0.6784  0.08

---

[2]
This record from the Alexandria database describes a relaxed PmPrAlSn crystal. The functional is GGA-PBE.

Calculated values
For the polymorph energy (0 for the lowest one), the calculation gives 0.0 meV per atom. The formation energy is -2.427 eV per formula unit.

a = 4.6461 Å, b = 4.3096 Å, c = 6.2632 Å
α = 90.00°, β = 111.77°, γ = 90.00°
Fractional coordinates of all 4 atoms:
Pm  0.8617  0.5000  0.7234
Pr  0.1428  0.0000  0.2856
Al  0.4203  0.0000  0.8406
Sn  0.5752  0.5000  0.1504

---

Number 1: calculated total energy -94.17 eV per cell. Number 2: calculated total energy -19.70 eV per cell.